First-principles (PBE) data for Li3CuAg6 after structural relaxation, as listed in Alexandria.

Lattice parameters (Å, degrees): 7.467 7.467 7.467 107.25 107.25 107.25
Sites, in units of the cell vectors:
1 Li 0.563 0.894 0.789
2 Li 0.894 0.789 0.563
3 Li 0.211 0.437 0.106
4 Li 0.789 0.563 0.894
5 Li 0.106 0.211 0.437
6 Li 0.437 0.106 0.211
7 Cu 0.000 0.000 0.000
8 Cu 0.500 0.500 0.500
9 Ag 0.165 0.731 0.893
10 Ag 0.269 0.107 0.835
11 Ag 0.504 0.815 0.388
12 Ag 0.107 0.835 0.269
13 Ag 0.388 0.504 0.815
14 Ag 0.185 0.612 0.496
15 Ag 0.815 0.388 0.504
16 Ag 0.612 0.496 0.185
17 Ag 0.893 0.165 0.731
18 Ag 0.496 0.185 0.612
19 Ag 0.731 0.893 0.165
20 Ag 0.835 0.269 0.107

The energy above the most stable polymorph in this dataset comes out at 31 meV/atom. As for the total energy: -0.20401 Ry/atom. Its energy of formation from the pure elements is -0.08 eV/atom.

=====

First-principles (PBE) data for Li6CuAg8 after structural relaxation, as listed in Alexandria.

Lattice parameters (Å, degrees): 2.984 9.845 9.845 120.00 90.00 90.00
Sites, in units of the cell vectors:
1 Li 0.730 0.523 0.621
2 Li 0.730 0.379 0.901
3 Li 0.730 0.099 0.477
4 Li 0.270 0.477 0.379
5 Li 0.270 0.621 0.099
6 Li 0.270 0.901 0.523
7 Cu 0.500 0.000 0.000
8 Ag 0.774 0.706 0.921
9 Ag 0.774 0.079 0.785
10 Ag 0.774 0.215 0.294
11 Ag 0.226 0.294 0.079
12 Ag 0.226 0.921 0.215
13 Ag 0.226 0.785 0.706
14 Ag 0.770 0.667 0.333
15 Ag 0.230 0.333 0.667

As for the total energy: -0.18750 Ry/atom. Its energy of formation from the pure elements is 0.01 eV/atom.

=====

First-principles (PBE) data for LiCu2Ag after structural relaxation, as listed in Alexandria.

Lattice parameters (Å, degrees): 2.996 4.184 4.377 90.00 90.00 90.00
Sites, in units of the cell vectors:
1 Cu 0.000 0.000 0.000
2 Cu 0.500 0.500 0.000
3 Ag 0.000 0.500 0.500
4 Li 0.500 0.000 0.500

The energy above the most stable polymorph in this dataset comes out at 22 meV/atom. As for the total energy: -0.23897 Ry/atom. Its energy of formation from the pure elements is -0.01 eV/atom.